No. 1
Entry from Alexandria via LeMat-Bulk: Tm2Al5Ir3 after structural relaxation (PBE-GGA).

Output
calculated volume = 354.6 Å³/cell
formation energy from the elements = -0.8499 eV/atom
symmetry = Cmc2_1
M_tot = 0.00 μB/cell

Cell lengths 4.240, 6.788, 12.502 Å; angles 90.00, 99.76, 90.00 degrees
Positions (direct):
Al  0.055  0.618  0.110
Al  0.598  0.907  0.197
Al  0.706  0.387  0.413
Al  0.127  0.255  0.254
Al  0.873  0.755  0.746
Al  0.288  0.491  0.575
Al  0.945  0.118  0.890
Al  0.294  0.887  0.587
Al  0.402  0.407  0.803
Al  0.712  0.991  0.425
Ir  0.229  0.186  0.457
Ir  0.771  0.686  0.543
Ir  0.953  0.501  0.907
Ir  0.390  0.031  0.779
Ir  0.047  0.001  0.093
Ir  0.610  0.531  0.221
Tm  0.477  0.786  0.954
Tm  0.523  0.286  0.046
Tm  0.824  0.204  0.647
Tm  0.176  0.704  0.353


No. 2
Entry from Alexandria via LeMat-Bulk: NaGaGeAu2 after structural relaxation (PBE-GGA).

Output
calculated volume = 129.2 Å³/cell
formation energy from the elements = 0.7979 eV/atom
symmetry = P4/mmm
M_tot = 0.00 μB/cell

Cell lengths 5.044, 5.077, 5.044 Å; angles 90.00, 90.00, 90.00 degrees
Positions (direct):
Ge  0.000  0.500  0.000
Au  0.000  0.000  0.500
Au  0.500  0.000  0.000
Na  0.000  0.000  0.000
Ga  0.500  0.500  0.500


No. 3
Entry from Alexandria via LeMat-Bulk: PdPtO2F after structural relaxation (PBE-GGA).

Output
calculated volume = 65.7 Å³/cell
symmetry = P4/mmm
M_tot = 2.25 μB/cell
formation energy without anion corrections = 0.375 eV per atom

Cell lengths 4.029, 4.029, 4.046 Å; angles 90.00, 90.00, 90.00 degrees
Positions (direct):
Pd  0.000  0.000  0.000
O  0.500  0.000  0.000
O  0.000  0.500  0.000
F  0.000  0.000  0.500
Pt  0.500  0.500  0.500


No. 4
Entry from Alexandria via LeMat-Bulk: TmZrNb4 after structural relaxation (PBE-GGA).

Output
calculated volume = 126.1 Å³/cell
formation energy from the elements = 0.1101 eV/atom
symmetry = F-43m
M_tot = 0.00 μB/cell

Cell lengths 5.628, 5.628, 5.628 Å; angles 60.00, 60.00, 60.00 degrees
Positions (direct):
Nb  0.625  0.125  0.625
Nb  0.625  0.625  0.125
Nb  0.625  0.625  0.625
Nb  0.125  0.625  0.625
Tm  0.250  0.250  0.250
Zr  0.000  0.000  0.000


No. 5
Entry from Alexandria via LeMat-Bulk: AlS after structural relaxation (PBE-GGA).

Output
calculated volume = 262.4 Å³/cell
symmetry = Pmn2_1
M_tot = 0.00 μB/cell
formation energy without anion corrections = -0.530 eV per atom

Cell lengths 11.634, 3.594, 6.276 Å; angles 90.00, 90.00, 90.00 degrees
Positions (direct):
Al  0.500  0.247  0.999
Al  0.681  0.757  0.112
Al  0.181  0.243  0.612
Al  0.319  0.757  0.112
Al  0.000  0.753  0.499
Al  0.819  0.243  0.612
S  0.715  0.744  0.745
S  0.785  0.256  0.245
S  0.000  0.262  0.789
S  0.285  0.744  0.745
S  0.500  0.738  0.289
S  0.215  0.256  0.245


No. 6
Entry from Alexandria via LeMat-Bulk: Ba5Cd2 after structural relaxation (PBE-GGA).

Output
calculated volume = 711.3 Å³/cell
formation energy from the elements = -0.1499 eV/atom
symmetry = C2/c
M_tot = 0.00 μB/cell

Cell lengths 8.185, 8.839, 10.720 Å; angles 96.64, 112.44, 90.00 degrees
Positions (direct):
Ba  0.652  0.808  0.442
Ba  0.787  0.566  0.818
Ba  0.348  0.192  0.558
Ba  0.211  0.692  0.558
Ba  0.213  0.434  0.182
Ba  0.969  0.934  0.182
Ba  0.031  0.066  0.818
Ba  0.432  0.750  0.000
Ba  0.568  0.250  0.000
Ba  0.789  0.308  0.442
Cd  0.603  0.931  0.783
Cd  0.820  0.569  0.217
Cd  0.180  0.431  0.783
Cd  0.397  0.069  0.217